{"formula": "Ba2Bi3Pb3", "functional": "PBE", "state": "relaxed", "spacegroup": "P-62m, No. 189", "m_tot_mub_per_atom": 0.000, "vol_a3_per_atom": 38.03, "e_form_ev_per_atom": -0.379, "e_tot_ev_per_atom": -3.71, "cell": [[9.089, 0.000, 0.000], [-4.544, 7.871, 0.000], [0.000, 0.000, 4.253]], "species": ["Ba", "Ba", "Bi", "Bi", "Bi", "Pb", "Pb", "Pb"], "fractional_positions": [[0.333, 0.667, 0.000], [0.667, 0.333, 0.000], [0.000, 0.666, 0.500], [0.334, 0.334, 0.500], [0.666, 0.000, 0.500], [0.000, 0.206, 0.000], [0.206, 0.000, 0.000], [0.794, 0.794, 0.000]]}